# 1
This record from Alexandria describes a relaxed structure of Pr4Cu2N. The functional is GGA-PBE.

Properties
Polymorph energy (0 for the lowest one), eV per atom: 0.000
Crystal system: monoclinic
Space group: No. 12
DOS at the Fermi energy, states/eV per atom: 0.946
Total moment, Bohr magnetons per cell: 0.0
Raw formation energy, eV/atom: -0.433
Uncorrected energy, eV per atom: -5.5240

Cell: 6.758 6.758 8.246 Å, 123.41 123.41 33.08°
Element x y z (fractional)
1 Pr 0.086 0.086 0.361
2 Pr 0.347 0.347 0.935
3 Pr 0.653 0.653 0.065
4 Pr 0.914 0.914 0.639
5 Cu 0.383 0.383 0.334
6 Cu 0.617 0.617 0.666
7 N 0.000 0.000 0.000



# 2
This record from Alexandria describes a relaxed structure of Pr2CuN. The functional is GGA-PBE.

Properties
Crystal system: trigonal
Space group: No. 166
DOS at the Fermi energy, states/eV per atom: 1.025
Total moment, Bohr magnetons per cell: 0.0
Raw formation energy, eV/atom: -0.563
Uncorrected energy, eV per atom: -6.0581

Cell: 7.433 7.433 7.433 Å, 29.20 29.20 29.20°
Element x y z (fractional)
1 Pr 0.233 0.233 0.233
2 Pr 0.767 0.767 0.767
3 Cu 0.000 0.000 0.000
4 N 0.500 0.500 0.500